Compound: Mn2PI
Source: Alexandria via LeMat-Bulk
Functional: GGA-PBE
Structure: optimized geometry

Properties
formation energy (no corrections)	712	meV per atom
Fermi-level density of states	3.94	states/eV/f.u.
ΔE to the lowest computed polymorph	0.2011	eV per atom
space-group type	Fm-3m, No. 225
raw total energy	-5.6130	eV/atom

a = 4.290 Å, b = 4.290 Å, c = 4.290 Å
α = 60.00°, β = 60.00°, γ = 60.00°
Atoms (fractional coordinates):
Mn 0.250 0.250 0.250
P 0.000 0.000 0.000
Mn 0.750 0.750 0.750
I 0.500 0.500 0.500